[1]
# CrPCl2, PBEsol geometry, DFT SCAN
# ΔE_f (raw) ... -0.3504 eV per atom
# Calculated total energy ... -92.3 eV per cell
# Space-group type ... No. 122
# ΔE to the lowest computed polymorph ... 0.00 kcal/mol of atoms
data_CrPCl2
_chemical_formula_sum 'Cr2 P2 Cl4'
_symmetry_space_group_name_H-M 'P 1'
_symmetry_Int_Tables_number 1
_cell_length_a 8.4462
_cell_length_b 6.3664
_cell_length_c 8.4462
_cell_angle_alpha 48.45
_cell_angle_beta 90.00
_cell_angle_gamma 131.55
loop_
_symmetry_equiv_pos_as_xyz
'x,y,z'
loop_
_atom_site_label
_atom_site_fract_x
_atom_site_fract_y
_atom_site_fract_z
P1 0.2500 0.5000 0.2500
P2 0.5000 0.0000 0.5000
Cl1 0.9819 0.7500 0.8750
Cl2 0.8750 0.2500 0.7681
Cr1 0.7500 0.5000 0.7500
Cl3 0.7681 0.7500 0.3750
Cl4 0.3750 0.2500 0.9819
Cr2 0.0000 0.0000 0.0000

***

[2]
# CrPCl2, PBEsol geometry, DFT SCAN
# ΔE_f (raw) ... 0.3656 eV per atom
# Calculated total energy ... -43.3 eV per cell
# Space-group type ... No. 216
# ΔE to the lowest computed polymorph ... 16.51 kcal/mol of atoms
data_CrPCl2
_chemical_formula_sum 'Cr1 P1 Cl2'
_symmetry_space_group_name_H-M 'P 1'
_symmetry_Int_Tables_number 1
_cell_length_a 4.5064
_cell_length_b 4.5064
_cell_length_c 4.5064
_cell_angle_alpha 60.00
_cell_angle_beta 60.00
_cell_angle_gamma 60.00
loop_
_symmetry_equiv_pos_as_xyz
'x,y,z'
loop_
_atom_site_label
_atom_site_fract_x
_atom_site_fract_y
_atom_site_fract_z
Cl1 0.7500 0.7500 0.7500
P1 0.2500 0.2500 0.2500
Cl2 0.0000 0.0000 0.0000
Cr1 0.5000 0.5000 0.5000

***

[3]
# CrPCl, PBEsol geometry, DFT SCAN
# ΔE_f (raw) ... 0.8500 eV per atom
# Calculated total energy ... -34.2 eV per cell
# Space-group type ... No. 216
# ΔE to the lowest computed polymorph ... 21.36 kcal/mol of atoms
data_CrPCl
_chemical_formula_sum 'Cr1 P1 Cl1'
_symmetry_space_group_name_H-M 'P 1'
_symmetry_Int_Tables_number 1
_cell_length_a 4.2063
_cell_length_b 4.2063
_cell_length_c 4.2063
_cell_angle_alpha 60.00
_cell_angle_beta 60.00
_cell_angle_gamma 60.00
loop_
_symmetry_equiv_pos_as_xyz
'x,y,z'
loop_
_atom_site_label
_atom_site_fract_x
_atom_site_fract_y
_atom_site_fract_z
Cr1 0.0000 0.0000 0.0000
P1 0.5000 0.5000 0.5000
Cl1 0.2500 0.2500 0.2500

***

[4]
# CrPCl, PBEsol geometry, DFT SCAN
# ΔE_f (raw) ... -0.0764 eV per atom
# Calculated total energy ... -37.0 eV per cell
# Space-group type ... No. 216
# ΔE to the lowest computed polymorph ... 0.00 kcal/mol of atoms
data_CrPCl
_chemical_formula_sum 'Cr1 P1 Cl1'
_symmetry_space_group_name_H-M 'P 1'
_symmetry_Int_Tables_number 1
_cell_length_a 4.1327
_cell_length_b 4.1327
_cell_length_c 4.1327
_cell_angle_alpha 60.00
_cell_angle_beta 60.00
_cell_angle_gamma 60.00
loop_
_symmetry_equiv_pos_as_xyz
'x,y,z'
loop_
_atom_site_label
_atom_site_fract_x
_atom_site_fract_y
_atom_site_fract_z
P1 0.0000 0.0000 0.0000
Cl1 0.5000 0.5000 0.5000
Cr1 0.2500 0.2500 0.2500

***

[5]
# CrPCl2, PBEsol geometry, DFT SCAN
# ΔE_f (raw) ... 0.0181 eV per atom
# Calculated total energy ... -44.7 eV per cell
# Space-group type ... No. 47
# ΔE to the lowest computed polymorph ... 8.50 kcal/mol of atoms
data_CrPCl2
_chemical_formula_sum 'Cr1 P1 Cl2'
_symmetry_space_group_name_H-M 'P 1'
_symmetry_Int_Tables_number 1
_cell_length_a 3.0726
_cell_length_b 4.0971
_cell_length_c 5.4425
_cell_angle_alpha 90.00
_cell_angle_beta 90.00
_cell_angle_gamma 90.00
loop_
_symmetry_equiv_pos_as_xyz
'x,y,z'
loop_
_atom_site_label
_atom_site_fract_x
_atom_site_fract_y
_atom_site_fract_z
Cr1 0.5000 0.5000 0.0000
Cl1 0.5000 0.0000 0.5000
P1 0.0000 0.5000 0.5000
Cl2 0.0000 0.0000 0.0000

***

[6]
# CrPCl2, PBEsol geometry, DFT SCAN
# ΔE_f (raw) ... -0.2470 eV per atom
# Calculated total energy ... -45.7 eV per cell
# Space-group type ... No. 160
# ΔE to the lowest computed polymorph ... 2.39 kcal/mol of atoms
data_CrPCl2
_chemical_formula_sum 'Cr1 P1 Cl2'
_symmetry_space_group_name_H-M 'P 1'
_symmetry_Int_Tables_number 1
_cell_length_a 3.1220
_cell_length_b 3.1220
_cell_length_c 8.2192
_cell_angle_alpha 79.05
_cell_angle_beta 79.05
_cell_angle_gamma 60.00
loop_
_symmetry_equiv_pos_as_xyz
'x,y,z'
loop_
_atom_site_label
_atom_site_fract_x
_atom_site_fract_y
_atom_site_fract_z
Cl1 0.9786 0.9786 0.0642
Cr1 0.5095 0.5095 0.4714
P1 0.2343 0.2343 0.2970
Cl2 0.7775 0.7775 0.6674